VASP calculation (GGA-PBE) on a relaxed Pm3Sm2TmSe6 crystal.

## Properties
Formation energy without anion corrections ... -1.801 eV/atom

The structure in extended XYZ format:
```
12
Lattice="-3.8663 0.5877 -1.3516 -2.3724 -7.1367 3.6829 0.6281 5.9479 7.1230" Properties=species:S:1:pos:R:3 pbc="T T T"
Pm -3.1194 -3.2745 1.1656
Pm -3.1870 3.2196 4.1831
Pm -2.4236 -3.8207 5.2712
Sm -4.3722 -0.3059 6.0400
Sm -1.2385 -0.2952 3.4142
Tm -1.9331 0.2939 -0.6758
Se -3.0643 -2.3156 7.7582
Se -3.7473 -1.7868 3.6088
Se -2.5464 1.7145 1.6960
Se -3.8005 4.8320 6.6390
Se -1.8101 -5.4331 2.8152
Se -1.8633 1.1857 5.8455
```

---

VASP calculation (GGA-PBE) on a relaxed Rb2ZrTaO6 crystal.

## Properties
Formation energy without anion corrections ... -2.439 eV/atom

The structure in extended XYZ format:
```
20
Lattice="-2.6561 -5.0408 2.2627 3.4511 -4.5089 2.3116 -0.1795 1.0940 10.5316" Properties=species:S:1:pos:R:3 pbc="T T T"
Rb 0.6207 -7.8723 8.1065
Rb -0.0052 -0.5834 6.9993
Rb 0.4233 -5.9739 12.1041
Rb 0.1921 -2.4818 3.0017
Zr 0.4400 -5.5005 4.8729
Zr 0.1754 -2.9552 10.2329
Ta 0.0000 0.0000 0.0000
Ta 0.3077 -4.2278 7.5529
O -0.8800 -5.5804 6.6880
O 1.7250 -5.3535 6.7088
O 0.2529 -3.4303 5.7229
O 1.4955 -2.8753 8.4178
O -1.1095 -3.1022 8.3970
O 0.3625 -5.0254 9.3830
O -1.3977 -3.5477 11.4259
O 1.8082 -3.2685 11.4515
O -0.0034 -0.9016 10.2381
O 2.0132 -4.9080 3.6799
O -1.1928 -5.1872 3.6543
O 0.6189 -7.5541 4.8677
```

---

VASP calculation (GGA-PBE) on a relaxed RbYI3 crystal.

## Properties
Formation energy without anion corrections ... -1.211 eV/atom

The structure in extended XYZ format:
```
5
Lattice="-3.4448 -4.9987 -0.2817 4.3233 -2.7974 -3.2274 2.5250 -2.0298 5.1417" Properties=species:S:1:pos:R:3 pbc="T T T"
I 2.1617 -1.3987 -1.6137
I 1.2625 -1.0149 2.5709
I -1.7224 -2.4994 -0.1409
Y 0.0000 0.0000 0.0000
Rb 1.7018 -4.9130 0.8163
```

---

VASP calculation (GGA-PBE) on a relaxed La3Sn3Au8 crystal.

## Properties
Formation energy from the elements ... -0.609 eV/atom

The structure in extended XYZ format:
```
14
Lattice="4.6862 0.0000 0.0000 2.3431 8.6088 0.1565 2.3431 2.4944 8.2410" Properties=species:S:1:pos:R:3 pbc="T T T"
La 4.6862 5.5516 4.1988
La 4.6862 2.2196 1.6787
La 4.6862 8.8837 6.7188
Sn 2.3431 0.0000 0.0000
Sn 2.3431 7.2758 1.9191
Sn 2.3431 3.8274 6.4785
Au 4.6862 2.2900 5.3431
Au 4.6862 8.8133 3.0544
Au 4.6862 5.7647 0.7488
Au 4.6862 5.3385 7.6488
Au 7.0294 8.2164 4.5167
Au 2.3431 2.8869 3.8808
Au 7.0294 6.5830 6.6763
Au 2.3431 4.5202 1.7212
```

---

VASP calculation (GGA-PBE) on a relaxed ZrFeSe2 crystal.

## Properties
Formation energy without anion corrections ... -0.437 eV/atom

The structure in extended XYZ format:
```
4
Lattice="-6.5326 -5.3014 -0.1734 -5.0404 -6.0009 3.0648 -7.3109 -3.1904 2.6797" Properties=species:S:1:pos:R:3 pbc="T T T"
Se -17.0629 -13.0951 5.0339
Se -1.8210 -1.3976 0.5372
Zr -9.4420 -7.2463 2.7856
Fe 0.0000 0.0000 0.0000
```

---

VASP calculation (GGA-PBE) on a relaxed CuNi6Mo crystal.

## Properties
Formation energy from the elements ... -0.036 eV/atom

The structure in extended XYZ format:
```
32
Lattice="-2.4492 5.3849 1.8819 -4.5410 -4.1369 -0.8967 0.8264 -3.0024 9.6666" Properties=species:S:1:pos:R:3 pbc="T T T"
Cu -3.8114 -2.5068 2.2147
Cu -2.7656 2.2537 3.6039
Cu 0.4108 -1.4926 4.8057
Cu 0.0024 -0.0086 0.0276
Mo -3.3888 -3.9651 7.0605
Mo -2.3619 0.7095 8.4246
Mo -3.0891 -0.8510 5.2418
Mo -3.4879 0.5979 0.5767
Ni -3.6040 -3.2573 4.6367
Ni -4.4715 0.2486 7.1306
Ni -1.4854 -2.7550 5.9425
Ni -2.5590 1.4999 6.0249
Ni -0.9632 -0.3778 6.6362
Ni -4.9937 -2.1286 6.4369
Ni -3.2885 -0.1266 2.9093
Ni -1.7013 -2.0030 3.5257
Ni -1.1788 0.3755 4.2198
Ni -3.1916 -4.7554 9.4602
Ni -4.8757 1.7499 2.2928
Ni -1.9081 -1.2517 1.1069
Ni -2.1466 0.0017 10.8485
Ni -1.3856 1.1267 1.8009
Ni -5.3982 -0.6286 1.5988
Ni -2.8753 -1.6278 7.7426
Ni -1.2792 -3.5041 8.3545
Ni -0.7569 -1.1270 9.0482
Ni 0.2066 -0.7506 2.4167
Ni -5.1914 -1.3799 4.0176
Ni -4.6689 0.9986 4.7117
Ni 0.6198 -2.2518 7.2500
Ni -4.7875 -2.8777 8.8490
Ni -4.2653 -0.5006 9.5427
```

---

VASP calculation (GGA-PBE) on a relaxed LiCaMn2Cl8 crystal.

## Properties
Formation energy without anion corrections ... -1.386 eV/atom

The structure in extended XYZ format:
```
12
Lattice="7.5052 0.1394 0.0000 -3.2038 6.7885 0.0000 -2.1507 -3.4639 6.3026" Properties=species:S:1:pos:R:3 pbc="T T T"
Li 0.0000 0.0000 0.0000
Ca -1.6019 3.3942 3.1513
Mn 3.7526 0.0697 3.1513
Mn 2.1507 3.4639 0.0000
Cl 1.9346 -0.6159 1.9685
Cl 0.3184 2.7926 1.2026
Cl 0.2110 -1.9399 5.1001
Cl 3.9445 -1.8638 4.3342
Cl 3.9830 4.1352 1.2026
Cl 5.5706 0.7553 1.9685
Cl 3.5608 2.0032 4.3342
Cl -0.2110 1.9399 5.1001
```

---

VASP calculation (GGA-PBE) on a relaxed Ba2Si2Pt crystal.

## Properties
Formation energy without anion corrections ... -0.400 eV/atom

The structure in extended XYZ format:
```
10
Lattice="-4.8039 1.2634 4.4314 -4.5086 -2.6110 -4.1432 0.7810 -4.9162 2.2482" Properties=species:S:1:pos:R:3 pbc="T T T"
Si -5.6876 -1.8023 -1.9654
Si -7.0195 -0.5509 1.2337
Si -3.6249 0.4547 2.2536
Si -2.2931 -0.7967 -0.9455
Ba -3.5267 -4.0042 -0.8961
Ba -6.5728 -3.7456 0.7277
Ba -5.0049 -2.2596 3.4324
Ba -1.9587 -2.5182 1.8087
Pt 0.0000 0.0000 0.0000
Pt -4.6563 -0.6738 0.1441
```

---

VASP calculation (GGA-PBE) on a relaxed RhBrCl crystal.

## Properties
Formation energy without anion corrections ... 0.910 eV/atom

The structure in extended XYZ format:
```
3
Lattice="4.7112 0.0000 0.0000 2.3556 4.0800 0.0000 2.3556 1.3600 3.8467" Properties=species:S:1:pos:R:3 pbc="T T T"
Rh 4.7112 2.7200 1.9233
Br 7.0668 4.0800 2.8850
Cl 0.0000 0.0000 0.0000
```

---

VASP calculation (GGA-PBE) on a relaxed BaAc2Cu2Ge2 crystal.

## Properties
Formation energy from the elements ... -0.391 eV/atom

The structure in extended XYZ format:
```
7
Lattice="4.4238 0.0000 0.0000 2.2119 3.8311 0.0000 2.2119 1.2770 12.4952" Properties=species:S:1:pos:R:3 pbc="T T T"
Ba 0.0000 0.0000 0.0000
Ac 2.2119 1.2770 8.1548
Ac 6.6357 3.8311 4.3403
Cu 4.4238 2.5541 2.4096
Cu 4.4238 2.5541 10.0856
Ge 6.6357 3.8311 10.0486
Ge 2.2119 1.2770 2.4465
```

---

| no. | size of the total moment (μB/atom) | electronic total energy (eV per atom) |
| --- | --- | --- |
| 1 | 0.000 | -5.89 |
| 2 | 0.104 | -7.65 |
| 3 | 0.000 | -3.63 |
| 4 | 0.000 | -4.39 |
| 5 | 0.815 | -6.43 |
| 6 | 0.002 | -6.24 |
| 7 | 0.750 | -4.47 |
| 8 | 0.000 | -4.55 |
| 9 | 0.949 | -2.71 |
| 10 | 0.052 | -4.33 |